[1]
Below is crystalline PuAg2I4 at its relaxed geometry, with properties calculated at the GGA-PBE level.

Structure (CIF):
```
data_PuAg2I4
_chemical_formula_sum 'Pu1 Ag2 I4'
_space_group_name_H-M_alt 'P -4 2 m'
_space_group_IT_number 111
_space_group_name_Hall 'P -4 2'
_cell_length_a 6.717
_cell_length_b 6.717
_cell_length_c 6.677
_cell_angle_alpha 90.00
_cell_angle_beta 90.00
_cell_angle_gamma 90.00
loop_
_atom_site_label
_atom_site_type_symbol
_atom_site_fract_x
_atom_site_fract_y
_atom_site_fract_z
_atom_site_occupancy
Pu1 Pu 0.000 0.000 0.000 1
Ag1 Ag 0.000 0.500 0.500 1
I1 I 0.271 0.271 0.257 1
```

Values from the calculation:
* ρ: 5332 kg/m3
* raw formation energy: -0.49 eV/atom

=====

[2]
Below is crystalline ZrHgN2F at its relaxed geometry, with properties calculated at the GGA-PBE level.

Structure (CIF):
```
data_ZrHgN2F
_chemical_formula_sum 'Zr1 Hg1 N2 F1'
_space_group_name_H-M_alt 'P 4/m m m'
_space_group_IT_number 123
_space_group_name_Hall '-P 4 2'
_cell_length_a 4.179
_cell_length_b 4.179
_cell_length_c 4.241
_cell_angle_alpha 90.00
_cell_angle_beta 90.00
_cell_angle_gamma 90.00
loop_
_atom_site_label
_atom_site_type_symbol
_atom_site_fract_x
_atom_site_fract_y
_atom_site_fract_z
_atom_site_occupancy
Zr1 Zr 0.000 0.000 0.000 1
Hg1 Hg 0.500 0.500 0.500 1
N1 N 0.000 0.500 0.500 1
F1 F 0.500 0.500 0.000 1
```

Values from the calculation:
* energy above the lowest structure with this stoichiometry: 6.28 eV/f.u.
* ρ: 7595 kg/m3
* raw formation energy: 0.82 eV/atom

=====

[3]
Below is crystalline ReAs2Rh at its relaxed geometry, with properties calculated at the GGA-PBE level.

Structure (CIF):
```
data_ReAs2Rh
_chemical_formula_sum 'Re3 As6 Rh3'
_space_group_name_H-M_alt 'R 3 m'
_space_group_IT_number 160
_space_group_name_Hall 'R 3 -2"'
_cell_length_a 2.9186
_cell_length_b 2.9186
_cell_length_c 30.1472
_cell_angle_alpha 90.00
_cell_angle_beta 90.00
_cell_angle_gamma 120.00
loop_
_atom_site_label
_atom_site_type_symbol
_atom_site_fract_x
_atom_site_fract_y
_atom_site_fract_z
_atom_site_occupancy
Re1 Re 0.0000 0.0000 0.0000 1
As1 As 0.0000 0.0000 0.5290 1
As2 As 0.0000 0.0000 0.7301 1
Rh1 Rh 0.0000 0.0000 0.2581 1
```

Values from the calculation:
* energy above the lowest structure with this stoichiometry: 0.52 eV/f.u.
* ρ: 9832 kg/m3
* ΔE_f: 71 meV per atom

=====

[4]
Below is crystalline PmPrNiIr at its relaxed geometry, with properties calculated at the GGA-PBE level.

Structure (CIF):
```
data_PmPrNiIr
_chemical_formula_sum 'Pm4 Pr4 Ni4 Ir4'
_space_group_name_H-M_alt 'F -4 3 m'
_space_group_IT_number 216
_space_group_name_Hall 'F -4 2 3'
_cell_length_a 7.052
_cell_length_b 7.052
_cell_length_c 7.052
_cell_angle_alpha 90.00
_cell_angle_beta 90.00
_cell_angle_gamma 90.00
loop_
_atom_site_label
_atom_site_type_symbol
_atom_site_fract_x
_atom_site_fract_y
_atom_site_fract_z
_atom_site_occupancy
Pm1 Pm 0.000 0.000 0.000 1
Pr1 Pr 0.000 0.000 0.500 1
Ni1 Ni 0.250 0.250 0.750 1
Ir1 Ir 0.250 0.250 0.250 1
```

Values from the calculation:
* energy above the lowest structure with this stoichiometry: 0.31 eV/f.u.
* ρ: 10165 kg/m3
* ΔE_f: -429 meV per atom

=====

[5]
Below is crystalline ScSbRu2 at its relaxed geometry, with properties calculated at the GGA-PBE level.

Structure (CIF):
```
data_ScSbRu2
_chemical_formula_sum 'Sc2 Sb2 Ru4'
_space_group_name_H-M_alt 'C 1 2/m 1'
_space_group_IT_number 12
_space_group_name_Hall '-C 2y'
_cell_length_a 8.780
_cell_length_b 3.123
_cell_length_c 5.135
_cell_angle_alpha 90.00
_cell_angle_beta 102.31
_cell_angle_gamma 90.00
loop_
_atom_site_label
_atom_site_type_symbol
_atom_site_fract_x
_atom_site_fract_y
_atom_site_fract_z
_atom_site_occupancy
Sc1 Sc 0.000 0.000 0.000 1
Sb1 Sb 0.000 0.500 0.500 1
Ru1 Ru 0.248 0.000 0.739 1
```

Values from the calculation:
* ρ: 8905 kg/m3
* raw formation energy: -0.21 eV/atom

=====

[6]
Below is crystalline TbThNi at its relaxed geometry, with properties calculated at the GGA-PBE level.

Structure (CIF):
```
data_TbThNi
_chemical_formula_sum 'Tb4 Th4 Ni4'
_space_group_name_H-M_alt 'I m m m'
_space_group_IT_number 71
_space_group_name_Hall '-I 2 2'
_cell_length_a 3.738
_cell_length_b 6.743
_cell_length_c 12.097
_cell_angle_alpha 90.00
_cell_angle_beta 90.00
_cell_angle_gamma 90.00
loop_
_atom_site_label
_atom_site_type_symbol
_atom_site_fract_x
_atom_site_fract_y
_atom_site_fract_z
_atom_site_occupancy
Tb1 Tb 0.000 0.000 0.218 1
Th1 Th 0.000 0.254 0.500 1
Ni1 Ni 0.000 0.500 0.110 1
```

Values from the calculation:
* energy above the lowest structure with this stoichiometry: 0.00 eV/f.u.
* ρ: 9796 kg/m3
* ΔE_f: -233 meV per atom

=====

[7]
Below is crystalline TiNbAlO6 at its relaxed geometry, with properties calculated at the GGA-PBE level.

Structure (CIF):
```
data_TiNbAlO6
_chemical_formula_sum 'Ti2 Nb2 Al2 O12'
_space_group_name_H-M_alt 'P -3 1 c'
_space_group_IT_number 163
_space_group_name_Hall '-P 3 2c'
_cell_length_a 4.9793
_cell_length_b 4.9793
_cell_length_c 8.7834
_cell_angle_alpha 90.00
_cell_angle_beta 90.00
_cell_angle_gamma 120.00
loop_
_atom_site_label
_atom_site_type_symbol
_atom_site_fract_x
_atom_site_fract_y
_atom_site_fract_z
_atom_site_occupancy
Ti1 Ti 0.0000 0.0000 0.0000 1
Nb1 Nb 0.3333 0.6667 0.2500 1
Al1 Al 0.3333 0.6667 0.7500 1
O1 O 0.0132 0.3388 0.6295 1
```

Values from the calculation:
* ρ: 4645 kg/m3
* raw formation energy: -2.71 eV/atom

=====

[8]
Below is crystalline Ba2Ti6N2O11 at its relaxed geometry, with properties calculated at the GGA-PBE level.

Structure (CIF):
```
data_Ba2Ti6N2O11
_chemical_formula_sum 'Ba4 Ti12 N4 O22'
_space_group_name_H-M_alt 'C 1 m 1'
_space_group_IT_number 8
_space_group_name_Hall 'C -2y'
_cell_length_a 15.377
_cell_length_b 3.951
_cell_length_c 9.203
_cell_angle_alpha 90.00
_cell_angle_beta 98.45
_cell_angle_gamma 90.00
loop_
_atom_site_label
_atom_site_type_symbol
_atom_site_fract_x
_atom_site_fract_y
_atom_site_fract_z
_atom_site_occupancy
Ba1 Ba 0.000 0.000 0.000 1
Ba2 Ba 0.099 0.000 0.540 1
Ti1 Ti 0.177 0.500 0.864 1
Ti2 Ti 0.219 0.500 0.202 1
Ti3 Ti 0.290 0.500 0.523 1
Ti4 Ti 0.308 0.000 0.998 1
Ti5 Ti 0.376 0.000 0.330 1
Ti6 Ti 0.431 0.000 0.676 1
N1 N 0.286 0.500 0.004 1
N2 N 0.343 0.500 0.343 1
O1 O 0.044 0.500 0.768 1
O2 O 0.119 0.500 0.064 1
O3 O 0.177 0.500 0.385 1
O4 O 0.182 0.000 0.876 1
O5 O 0.210 0.500 0.676 1
O6 O 0.247 0.000 0.195 1
O7 O 0.306 0.000 0.532 1
O8 O 0.381 0.000 0.855 1
O9 O 0.411 0.500 0.656 1
O10 O 0.416 0.000 0.150 1
O11 O 0.473 0.000 0.475 1
```

Values from the calculation:
* energy above the lowest structure with this stoichiometry: 0.02 eV/f.u.
* ρ: 4599 kg/m3
* raw formation energy: -2.79 eV/atom

=====

Per-record final energy, eV per atom: -4.2374; -4.6561; -7.2040; -6.4721; -7.4629; -6.1771; -8.4254; -8.6224